# 1
! AlReAg | Alexandria via LeMat-Bulk | GGA-PBE | optimized geometry; values from VASP
! Excess energy over the best structure of this formula in the dataset = 263 meV/atom
! Symmetry = No. 65
&SYSTEM
  ibrav = 0, nat = 12, ntyp = 3
/
ATOMIC_SPECIES
Ag 107.87 Ag.upf
Al 26.98 Al.upf
Re 186.21 Re.upf
CELL_PARAMETERS angstrom
11.5602 0.0000 0.0000
0.0000 4.0919 0.0000
0.0000 0.0000 4.0846
ATOMIC_POSITIONS crystal
Ag 0.0000 0.0000 0.0000
Ag 0.0000 0.5000 0.5000
Ag 0.5000 0.5000 0.0000
Ag 0.5000 0.0000 0.5000
Al 0.1641 0.5000 0.0000
Al 0.3359 0.0000 0.0000
Al 0.8359 0.5000 0.0000
Al 0.6641 0.0000 0.0000
Re 0.1906 0.0000 0.5000
Re 0.3094 0.5000 0.5000
Re 0.6906 0.5000 0.5000
Re 0.8094 0.0000 0.5000



# 2
! AlRe2Ag | Alexandria via LeMat-Bulk | GGA-PBE | optimized geometry; values from VASP
! Raw total energy = -27.60 eV per formula unit
! Symmetry = No. 122
&SYSTEM
  ibrav = 0, nat = 8, ntyp = 3
/
ATOMIC_SPECIES
Ag 107.87 Ag.upf
Re 186.21 Re.upf
Al 26.98 Al.upf
CELL_PARAMETERS angstrom
-4.4615 -4.9106 -3.0555
-0.1703 -3.7457 6.2686
-4.3183 -2.9773 2.3593
ATOMIC_POSITIONS crystal
Ag 0.0000 0.0000 0.0000
Ag 0.7500 0.2500 0.5000
Re 0.1566 0.6250 0.2500
Re 0.5934 0.1250 0.2500
Re 0.8750 0.8434 0.7500
Re 0.3750 0.4066 0.7500
Al 0.5000 0.5000 0.0000
Al 0.2500 0.7500 0.5000



# 3
! AlReAg | Alexandria via LeMat-Bulk | GGA-PBE | optimized geometry; values from VASP
! Excess energy over the best structure of this formula in the dataset = 278 meV/atom
! Symmetry = No. 8
&SYSTEM
  ibrav = 0, nat = 6, ntyp = 3
/
ATOMIC_SPECIES
Re 186.21 Re.upf
Ag 107.87 Ag.upf
Al 26.98 Al.upf
CELL_PARAMETERS angstrom
4.2956 0.0024 -0.0116
2.1462 3.9610 0.0532
0.0160 0.6475 5.5825
ATOMIC_POSITIONS crystal
Re 0.1607 0.1743 0.6798
Re 0.4877 0.5205 0.7978
Ag 0.8216 0.8529 0.4222
Ag 0.1311 0.2344 0.1706
Al 0.4849 0.5265 0.3124
Al 0.8200 0.8557 0.9170



# 4
! AlReAg | Alexandria via LeMat-Bulk | GGA-PBE | optimized geometry; values from VASP
! Excess energy over the best structure of this formula in the dataset = 45 meV/atom
! Symmetry = No. 156
&SYSTEM
  ibrav = 0, nat = 6, ntyp = 3
/
ATOMIC_SPECIES
Ag 107.87 Ag.upf
Re 186.21 Re.upf
Al 26.98 Al.upf
CELL_PARAMETERS angstrom
-1.4244 -1.0151 2.2750
0.7160 -1.7629 -2.1482
11.5380 -2.6665 6.0342
ATOMIC_POSITIONS crystal
Ag 0.3333 0.6667 0.1870
Ag 0.0000 0.0000 0.9993
Re 0.3333 0.6667 0.5144
Re 0.0000 0.0000 0.6706
Al 0.6667 0.3333 0.3536
Al 0.3333 0.6667 0.8327



| no. | total magnetic moment (μB per cell) |
| --- | --- |
| 1 | 0.0 |
| 2 | 0.0 |
| 3 | 0.0 |
| 4 | 0.0 |